Entry from Alexandria: an optimized crystal structure of Mg4CdTc (PBE).

Lattice parameters (Å, degrees): 5.523 5.523 5.523 60.00 60.00 60.00
Element x y z (fractional)
Mg (0.124, 0.124, 0.124)
Mg (0.124, 0.124, 0.628)
Mg (0.124, 0.628, 0.124)
Mg (0.628, 0.124, 0.124)
Cd (0.500, 0.500, 0.500)
Tc (0.750, 0.750, 0.750)

Properties
magnetization = 1.63 μB per cell
ΔE_f = 457 meV/atom
ρ = 4.29 g/cm³
DOS at the Fermi energy = 5.7 states/eV/f.u.
total energy = -2.49 eV per atom